A plane-wave DFT calculation with GGA-PBE was carried out for a relaxed SrMoOs crystal.

The calculation puts the spin magnetization at 0.00 Bohr magnetons per cell. The density of states at the Fermi level is 6.52 states/eV per cell. The value obtained for the formation enthalpy at 0 K is 540 meV per atom. The energy above the most stable polymorph in this dataset is 0.000 eV/atom.

It has space group I4mm (No. 107), with a = 3.262 Å, b = 3.262 Å, c = 12.395 Å, α = 90.00°, β = 90.00° and γ = 90.00°. The distinct sites, in fractional coordinates, are Sr at (0.000, 0.000, 0.000), Mo at (0.000, 0.000, 0.712) and Os at (0.000, 0.000, 0.301).

---

A plane-wave DFT calculation with GGA-PBE was carried out for a relaxed Sr2MoOs crystal.

The calculation puts the spin magnetization at 15.40 Bohr magnetons per cell. The density of states at the Fermi level is 17.02 states/eV per cell. The value obtained for the formation enthalpy at 0 K is 1355 meV per atom. The energy above the most stable polymorph in this dataset is 1.067 eV/atom.

It has space group Fm-3m (No. 225), with a = 7.402 Å, b = 7.402 Å, c = 7.402 Å, α = 90.00°, β = 90.00° and γ = 90.00°. The distinct sites, in fractional coordinates, are Sr at (0.250, 0.250, 0.250), Mo at (0.000, 0.000, 0.000) and Os at (0.000, 0.000, 0.500).

---

A plane-wave DFT calculation with GGA-PBE was carried out for a relaxed SrMoOs crystal.

The calculation puts the spin magnetization at 0.00 Bohr magnetons per cell. The density of states at the Fermi level is 2.06 states/eV per cell. The value obtained for the formation enthalpy at 0 K is 552 meV per atom. The energy above the most stable polymorph in this dataset is 0.012 eV/atom.

It has space group P3m1 (No. 156), with a = 4.1645 Å, b = 4.1645 Å, c = 5.1237 Å, α = 90.00°, β = 90.00° and γ = 120.00°. The distinct sites, in fractional coordinates, are Sr at (0.0000, 0.0000, 0.0000), Mo at (0.6667, 0.3333, 0.4832) and Os at (0.3333, 0.6667, 0.5333).

---

A plane-wave DFT calculation with GGA-PBE was carried out for a relaxed Sr2MoOs crystal.

The calculation puts the spin magnetization at 0.00 Bohr magnetons per cell. The density of states at the Fermi level is 6.87 states/eV per cell. The value obtained for the formation enthalpy at 0 K is 1164 meV per atom. The energy above the most stable polymorph in this dataset is 0.876 eV/atom.

It has space group I4/mmm (No. 139), with a = 4.087 Å, b = 4.087 Å, c = 10.501 Å, α = 90.00°, β = 90.00° and γ = 90.00°. The distinct sites, in fractional coordinates, are Sr at (0.000, 0.500, 0.250), Mo at (0.000, 0.000, 0.000) and Os at (0.000, 0.000, 0.500).

---

A plane-wave DFT calculation with GGA-PBE was carried out for a relaxed Sr2MoOs crystal.

The calculation puts the spin magnetization at 0.01 Bohr magnetons per cell. The density of states at the Fermi level is 21.86 states/eV per cell. The value obtained for the formation enthalpy at 0 K is 1110 meV per atom. The energy above the most stable polymorph in this dataset is 0.822 eV/atom.

It has space group F-43m (No. 216), with a = 7.112 Å, b = 7.112 Å, c = 7.112 Å, α = 90.00°, β = 90.00° and γ = 90.00°. The distinct sites, in fractional coordinates, are Sr at (0.000, 0.000, 0.000), Sr at (0.250, 0.250, 0.250), Mo at (0.000, 0.000, 0.500) and Os at (0.250, 0.250, 0.750).

---

A plane-wave DFT calculation with GGA-PBE was carried out for a relaxed Sr2MoOs crystal.

The calculation puts the spin magnetization at 0.45 Bohr magnetons per cell. The density of states at the Fermi level is 8.50 states/eV per cell. The value obtained for the formation enthalpy at 0 K is 1199 meV per atom. The energy above the most stable polymorph in this dataset is 0.911 eV/atom.

It has space group C2/m (No. 12), with a = 5.665 Å, b = 10.342 Å, c = 3.018 Å, α = 90.00°, β = 90.11° and γ = 90.00°. The distinct sites, in fractional coordinates, are Sr at (0.250, 0.250, 0.000), Mo at (0.000, 0.000, 0.500) and Os at (0.000, 0.500, 0.500).

---

A plane-wave DFT calculation with GGA-PBE was carried out for a relaxed SrMoOs crystal.

The calculation puts the spin magnetization at 0.00 Bohr magnetons per cell. The density of states at the Fermi level is 3.25 states/eV per cell. The value obtained for the formation enthalpy at 0 K is 963 meV per atom. The energy above the most stable polymorph in this dataset is 0.423 eV/atom.

It has space group P3m1 (No. 156), with a = 3.0233 Å, b = 3.0233 Å, c = 7.4589 Å, α = 90.00°, β = 90.00° and γ = 120.00°. The distinct sites, in fractional coordinates, are Sr at (0.0000, 0.0000, 0.0000), Mo at (0.3333, 0.6667, 0.3804) and Os at (0.6667, 0.3333, 0.6402).

---

A plane-wave DFT calculation with GGA-PBE was carried out for a relaxed SrMoOs3 crystal.

The calculation puts the spin magnetization at 0.00 Bohr magnetons per cell. The density of states at the Fermi level is 5.46 states/eV per cell. The value obtained for the formation enthalpy at 0 K is 1455 meV per atom. The energy above the most stable polymorph in this dataset is 0.000 eV/atom.

It has space group Pm-3m (No. 221), with a = 4.790 Å, b = 4.790 Å, c = 4.790 Å, α = 90.00°, β = 90.00° and γ = 90.00°. The distinct sites, in fractional coordinates, are Sr at (0.000, 0.000, 0.000), Mo at (0.500, 0.500, 0.500) and Os at (0.000, 0.500, 0.500).

---

Question: Which of these has the highest spin magnetization?
Answer: number 2